Version one
This record from the Alexandria database describes a relaxed Tl2FeNi crystal. The functional is PBE.

Cell: 8.439 8.439 8.439 Å, 23.39 23.39 23.39°
Fractional coordinates of all 4 atoms:
Tl  0.000  0.000  0.000
Tl  0.219  0.219  0.219
Fe  0.755  0.755  0.755
Ni  0.470  0.470  0.470

Computed properties:
Calculated volume in Å³/cell: 83.2
Spin magnetization in μB/cell: 3.6
DOS at the Fermi energy in states/eV/f.u.: 2.27

---

Version two
This record from the Alexandria database describes a relaxed Tl2FeNi crystal. The functional is PBE.

Cell: 9.674 9.674 9.674 Å, 154.53 154.53 36.32°
Fractional coordinates of all 8 atoms:
Tl  0.120  0.625  0.995
Tl  0.375  0.370  0.495
Tl  0.630  0.125  0.005
Tl  0.875  0.880  0.505
Fe  0.250  0.750  0.500
Fe  0.500  0.500  0.000
Ni  0.000  0.000  0.000
Ni  0.750  0.250  0.500

Computed properties:
Calculated volume in Å³/cell: 167.2
Spin magnetization in μB/cell: 6.2
DOS at the Fermi energy in states/eV/f.u.: 4.46

---

Version three
This record from the Alexandria database describes a relaxed Tl2FeNi crystal. The functional is PBE.

Cell: 6.210 6.210 4.476 Å, 110.65 110.65 28.57°
Fractional coordinates of all 4 atoms:
Tl  0.000  0.000  0.000
Tl  0.219  0.219  0.718
Fe  0.807  0.807  0.305
Ni  0.476  0.476  0.476

Computed properties:
Calculated volume in Å³/cell: 76.9
Spin magnetization in μB/cell: 3.0
DOS at the Fermi energy in states/eV/f.u.: 3.59

---

Version four
This record from the Alexandria database describes a relaxed Tl2FeNi crystal. The functional is PBE.

Cell: 4.531 4.531 5.657 Å, 101.04 101.04 40.73°
Fractional coordinates of all 4 atoms:
Tl  0.246  0.246  0.244
Tl  0.754  0.754  0.756
Fe  0.000  0.000  0.500
Ni  0.500  0.500  0.000

Computed properties:
Calculated volume in Å³/cell: 74.2
Spin magnetization in μB/cell: 2.6
DOS at the Fermi energy in states/eV/f.u.: 3.73

---

Quick look at relative energies in meV/atom: version one 8; version two 317; version three 0; version four 140.